1.
Here is an optimized crystal structure of Tb9PmEr2 from the Alexandria database. Energies are from PBE-GGA.

- distance to the lowest polymorph of the same formula (eV/atom) = 0.0180
- electronic total energy (eV per atom) = -4.59
- ΔE_f (eV/atom) = 0.038

Geometry as CIF:
```
data_Tb9PmEr2
_cell_length_a 11.2536
_cell_length_b 11.2536
_cell_length_c 3.5080
_cell_angle_alpha 90.00
_cell_angle_beta 90.00
_cell_angle_gamma 120.00
_symmetry_space_group_name_H-M 'P 6/m m m'
_symmetry_Int_Tables_number 191
_symmetry_space_group_name_Hall '-P 6 2'
loop_
_atom_site_label
_atom_site_fract_x
_atom_site_fract_y
_atom_site_fract_z
Tb1 0.0000 0.5000 0.0000
Tb2 0.1776 0.3551 0.5000
Pm1 0.0000 0.0000 0.0000
Er1 0.3333 0.6667 0.0000
```


2.
Here is an optimized crystal structure of Dy6Sn2GeTe3 from the Alexandria database. Energies are from PBE-GGA.

- energy relative to the elements, uncorrected (eV per atom) = -1.085
- electronic total energy (eV per atom) = -5.22

Geometry as CIF:
```
data_Dy6Sn2GeTe3
_cell_length_a 19.036
_cell_length_b 4.327
_cell_length_c 8.766
_cell_angle_alpha 90.00
_cell_angle_beta 103.73
_cell_angle_gamma 90.00
_symmetry_space_group_name_H-M 'C 1 2/m 1'
_symmetry_Int_Tables_number 12
_symmetry_space_group_name_Hall '-C 2y'
loop_
_atom_site_label
_atom_site_fract_x
_atom_site_fract_y
_atom_site_fract_z
Dy1 0.002 0.000 0.227
Dy2 0.157 0.500 0.085
Dy3 0.168 0.500 0.577
Sn1 0.167 0.000 0.333
Ge1 0.000 0.500 0.000
Te1 0.000 0.500 0.500
Te2 0.168 0.000 0.835
```


Number 1: D(E_F) 15.38 states/eV/f.u.. Number 2: D(E_F) 2.79 states/eV/f.u..